Here is an optimized crystal structure of NaLiWO2 from Alexandria via LeMat-Bulk. Energies are from PBE with a Hubbard U.

Cell and atoms, written as POSCAR:
```
NaLiWO2
1.0
-2.9610 -1.1909 -2.7061
-1.7326 -1.7233 2.6542
-2.1687 3.4779 0.8425
Na O W Li
1 2 1 1
Direct
0.0000 0.0000 0.0000
0.0000 0.0000 0.5000
0.5000 0.0000 0.0000
0.5000 0.5000 0.5000
0.0000 0.5000 0.0000
```

Computed properties:
**Size of the total moment**: 0.73 μB/atom
**E_tot**: -19.33 eV/cell
**SG**: P4/mmm (123)
**N(E_F)**: 0.3123 states/eV/atom